[1]
A PBEsol-optimized structure of GeW3Cl, computed with meta-GGA SCAN.

Geometry as CIF:
```
data_GeW3Cl
_symmetry_space_group_name_H-M 'P m -3 m'
_symmetry_Int_Tables_number 221
_symmetry_space_group_name_Hall '-P 4 2 3'
_cell_length_a 4.6357
_cell_length_b 4.6357
_cell_length_c 4.6357
_cell_angle_alpha 90.00
_cell_angle_beta 90.00
_cell_angle_gamma 90.00
loop_
_atom_site_label
_atom_site_type_symbol
_atom_site_fract_x
_atom_site_fract_y
_atom_site_fract_z
_atom_site_occupancy
Ge1 Ge 0.0000 0.0000 0.0000 1
W1 W 0.0000 0.0000 0.5000 1
Cl1 Cl 0.5000 0.5000 0.5000 1
```

Output
For the formation energy from raw total energies, the calculation gives 2.417 eV per atom.

[2]
A PBEsol-optimized structure of Zn2SiRh2, computed with meta-GGA SCAN.

Geometry as CIF:
```
data_Zn2SiRh2
_symmetry_space_group_name_H-M 'P 4/m b m'
_symmetry_Int_Tables_number 127
_symmetry_space_group_name_Hall '-P 4 2ab'
_cell_length_a 6.0300
_cell_length_b 6.0300
_cell_length_c 3.9286
_cell_angle_alpha 90.00
_cell_angle_beta 90.00
_cell_angle_gamma 90.00
loop_
_atom_site_label
_atom_site_type_symbol
_atom_site_fract_x
_atom_site_fract_y
_atom_site_fract_z
_atom_site_occupancy
Zn1 Zn 0.1508 0.3492 0.0000 1
Si1 Si 0.0000 0.0000 0.5000 1
Rh1 Rh 0.1558 0.6558 0.5000 1
```

Output
For the formation energy from raw total energies, the calculation gives -0.523 eV per atom.

[3]
A PBEsol-optimized structure of KInIr2, computed with meta-GGA SCAN.

Geometry as CIF:
```
data_KInIr2
_symmetry_space_group_name_H-M 'C 1 m 1'
_symmetry_Int_Tables_number 8
_cell_length_a 13.3084
_cell_length_b 2.7657
_cell_length_c 5.8857
_cell_angle_alpha 90.00
_cell_angle_beta 97.60
_cell_angle_gamma 90.00
loop_
_symmetry_equiv_pos_as_xyz
'x,y,z'
'x,-y,z'
'x+1/2,y+1/2,z'
'x+1/2,-y+1/2,z'
loop_
_atom_site_label
_atom_site_type_symbol
_atom_site_fract_x
_atom_site_fract_y
_atom_site_fract_z
_atom_site_occupancy
K1 K 0.0000 0.0000 0.0000 1
In1 In 0.2357 0.0000 0.5082 1
Ir1 Ir 0.0634 0.5000 0.5245 1
Ir2 Ir 0.4056 0.5000 0.4676 1
```

Output
As for the formation energy: 0.292 eV/atom.

Quick rundown of volume, same order as above: 19.9; 14.3; 26.8 Å³/atom